A relaxed structure of PuNpPaSb. Source: the Alexandria database, functional PBE.

Lattice parameters (Å, degrees): 5.116 5.116 5.116 60.00 60.00 60.00
Last column: magnetic moment on the atom in μB.
Element x y z (fractional)
Np: 0.000 0.000 0.000  -3.35
Sb: 0.500 0.500 0.500  0.03
Pa: 0.750 0.750 0.750  -0.65
Pu: 0.250 0.250 0.250  5.04

Calculated values
E_form (uncorrected)   0.0762 eV per atom
DOS(E_F)   4.228 states/eV/atom